1.
## CaTi3Cl (PBE)

Data for an optimized crystal structure of CaTi3Cl. Values from VASP.

The value obtained for the mass density is 3.6 Mg/m³. The crystal system is cubic. The calculation puts the total magnetic moment at 0.00 μB per cell. The value obtained for the total DFT energy (no corrections) is -5.402 eV per atom.

```
&SYSTEM
  ibrav = 0, nat = 5, ntyp = 3
/
ATOMIC_SPECIES
Ti 47.87 Ti.upf
Ca 40.08 Ca.upf
Cl 35.45 Cl.upf
CELL_PARAMETERS angstrom
-1.0201 4.0843 -1.9911
0.5240 -1.9213 -4.2096
-4.5134 -1.1461 -0.0387
ATOMIC_POSITIONS crystal
Ti 0.0000 0.0000 0.5000
Ca 0.5000 0.5000 0.5000
Cl 0.0000 0.0000 0.0000
Ti 0.5000 0.0000 0.0000
Ti 0.0000 0.5000 0.0000
```

***

2.
## RbTh2Se4 (PBE)

Data for an optimized crystal structure of RbTh2Se4. Values from VASP.

The value obtained for the mass density is 6.3 Mg/m³. The crystal system is orthorhombic. The calculation puts the total magnetic moment at 0.00 μB per cell. The value obtained for the total DFT energy (no corrections) is -5.888 eV per atom.

```
&SYSTEM
  ibrav = 0, nat = 14, ntyp = 3
/
ATOMIC_SPECIES
Se 78.96 Se.upf
Th 232.04 Th.upf
Rb 85.47 Rb.upf
CELL_PARAMETERS angstrom
4.3144 0.0000 0.0000
-2.1572 7.0972 0.0000
0.0000 0.0000 14.7845
ATOMIC_POSITIONS crystal
Se 0.0745 0.1490 0.2500
Se 0.9255 0.8510 0.7500
Se 0.7651 0.5302 0.3934
Se 0.5000 0.0000 0.5000
Th 0.1290 0.2580 0.0644
Th 0.8710 0.7420 0.5644
Rb 0.3880 0.7760 0.2500
Se 0.2349 0.4698 0.8934
Se 0.7651 0.5302 0.1066
Se 0.2349 0.4698 0.6066
Th 0.1290 0.2580 0.4356
Se 0.5000 0.0000 0.0000
Th 0.8710 0.7420 0.9356
Rb 0.6120 0.2240 0.7500
```

***

3.
## FeMo2Ir (PBE)

Data for an optimized crystal structure of FeMo2Ir. Values from VASP.

The value obtained for the mass density is 12.4 Mg/m³. The crystal system is trigonal. The calculation puts the total magnetic moment at 2.15 μB per cell. The value obtained for the total DFT energy (no corrections) is -9.600 eV per atom. The calculation puts the energy of formation from the pure elements at 0.147 eV/atom.

```
&SYSTEM
  ibrav = 0, nat = 4, ntyp = 3
/
ATOMIC_SPECIES
Mo 95.94 Mo.upf
Ir 192.22 Ir.upf
Fe 55.84 Fe.upf
CELL_PARAMETERS angstrom
9.1955 0.0148 0.0086
8.7826 2.7248 0.0086
8.7826 1.3383 2.3735
ATOMIC_POSITIONS crystal
Mo 0.2458 0.2458 0.2458
Ir 0.7526 0.7526 0.7526
Fe 0.4974 0.4974 0.4974
Mo 0.0042 0.0042 0.0042
```

***

4.
## La2Pm5PrTh (PBE)

Data for an optimized crystal structure of La2Pm5PrTh. Values from VASP.

The value obtained for the mass density is 7.2 Mg/m³. The crystal system is orthorhombic. The calculation puts the total magnetic moment at 0.00 μB per cell. The value obtained for the total DFT energy (no corrections) is -4.942 eV per atom. The calculation puts the energy of formation from the pure elements at 0.148 eV/atom.

```
&SYSTEM
  ibrav = 0, nat = 18, ntyp = 4
/
ATOMIC_SPECIES
Pm 145.00 Pm.upf
Th 232.04 Th.upf
Pr 140.91 Pr.upf
La 138.91 La.upf
CELL_PARAMETERS angstrom
-5.7473 -0.7590 0.0864
4.1553 -9.5715 -2.2040
0.4507 -2.2186 10.4846
ATOMIC_POSITIONS crystal
Pm 0.3881 0.7763 0.0242
Th 0.7990 0.5980 0.5122
Pr 0.5893 0.1785 0.9517
Pm 0.2955 0.5910 0.7056
Pm 0.7242 0.4484 0.8166
Pm 0.6119 0.2237 0.5242
Pm 0.0166 0.0331 0.0239
La 0.1173 0.2345 0.7295
La 0.8827 0.7655 0.2295
La 0.8830 0.7660 0.8209
Pm 0.7045 0.4090 0.2056
La 0.1170 0.2340 0.3209
Pr 0.4107 0.8215 0.4517
Pm 0.2758 0.5516 0.3166
Pm 0.4796 0.9592 0.7394
Pm 0.5204 0.0408 0.2394
Pm 0.9834 0.9669 0.5239
Th 0.2010 0.4020 0.0122
```

***

5.
## La2PmSmBi5 (PBE)

Data for an optimized crystal structure of La2PmSmBi5. Values from VASP.

The value obtained for the mass density is 7.3 Mg/m³. The crystal system is tetragonal. The calculation puts the total magnetic moment at 0.00 μB per cell. The value obtained for the total DFT energy (no corrections) is -4.520 eV per atom. The calculation puts the energy of formation from the pure elements at -0.217 eV/atom.

```
&SYSTEM
  ibrav = 0, nat = 9, ntyp = 4
/
ATOMIC_SPECIES
La 138.91 La.upf
Bi 208.98 Bi.upf
Pm 145.00 Pm.upf
Sm 150.36 Sm.upf
CELL_PARAMETERS angstrom
-4.2182 3.5335 -0.5467
-2.3433 -2.0935 4.5501
5.9136 8.1081 6.7760
ATOMIC_POSITIONS crystal
La 0.5000 0.5000 0.7222
La 0.5000 0.5000 0.2778
Bi 0.5000 0.5000 0.0000
Bi 0.5000 0.0000 0.5000
Pm 0.0000 0.0000 0.0000
Sm 0.0000 0.0000 0.5000
Bi 0.0000 0.0000 0.2471
Bi 0.0000 0.5000 0.5000
Bi 0.0000 0.0000 0.7529
```

***

6.
## ScTc2Se (PBE)

Data for an optimized crystal structure of ScTc2Se. Values from VASP.

The value obtained for the mass density is 8.5 Mg/m³. The crystal system is tetragonal. The calculation puts the total magnetic moment at 0.00 μB per cell. The value obtained for the total DFT energy (no corrections) is -7.670 eV per atom.

```
&SYSTEM
  ibrav = 0, nat = 4, ntyp = 3
/
ATOMIC_SPECIES
Sc 44.96 Sc.upf
Tc 98.00 Tc.upf
Se 78.96 Se.upf
CELL_PARAMETERS angstrom
-2.1807 1.0923 3.6017
3.5450 -0.8022 2.3896
0.9548 3.1214 -0.3685
ATOMIC_POSITIONS crystal
Sc 0.5000 0.0000 0.5000
Tc 0.5000 0.5000 0.0000
Se 0.0000 0.5000 0.5000
Tc 0.0000 0.0000 0.0000
```

***

7.
## KBaMn2 (PBE)

Data for an optimized crystal structure of KBaMn2. Values from VASP.

The value obtained for the mass density is 3.4 Mg/m³. The crystal system is tetragonal. The calculation puts the total magnetic moment at 7.93 μB per cell. The value obtained for the total DFT energy (no corrections) is -4.624 eV per atom. The calculation puts the energy of formation from the pure elements at 0.716 eV/atom.

```
&SYSTEM
  ibrav = 0, nat = 4, ntyp = 3
/
ATOMIC_SPECIES
K 39.10 K.upf
Ba 137.33 Ba.upf
Mn 54.94 Mn.upf
CELL_PARAMETERS angstrom
3.7411 0.0000 0.0000
0.0000 3.7411 0.0000
0.0000 0.0000 10.0149
ATOMIC_POSITIONS crystal
K 0.5000 0.5000 0.8195
Ba 0.0000 0.0000 0.4108
Mn 0.0000 0.0000 0.0862
Mn 0.5000 0.5000 0.1835
```

***

8.
## TbYPt2 (PBE)

Data for an optimized crystal structure of TbYPt2. Values from VASP.

The value obtained for the mass density is 11.0 Mg/m³. The crystal system is trigonal. The calculation puts the total magnetic moment at 0.00 μB per cell. The value obtained for the total DFT energy (no corrections) is -6.904 eV per atom. The calculation puts the energy of formation from the pure elements at -1.110 eV/atom.

```
&SYSTEM
  ibrav = 0, nat = 4, ntyp = 3
/
ATOMIC_SPECIES
Pt 195.08 Pt.upf
Y 88.91 Y.upf
Tb 158.93 Tb.upf
CELL_PARAMETERS angstrom
-2.3365 -2.2489 2.4652
0.8298 -3.9503 0.5485
3.4614 -0.5157 6.1759
ATOMIC_POSITIONS crystal
Pt 0.2497 0.2497 0.2508
Pt 0.7503 0.7503 0.7492
Y 0.0000 0.0000 0.0000
Tb 0.5000 0.5000 0.5000
```